(1)
Compound: La4Pr2TmTh
Source: Alexandria via LeMat-Bulk
Functional: PBE
Structure: optimized geometry

V ... 281 Å³ per cell
Energy of formation ... 0.12 eV/atom
Uncorrected energy ... -5.0202 eV/atom

```
data_La4Pr2TmTh
_chemical_formula_sum 'La4 Pr2 Tm1 Th1'
_symmetry_space_group_name_H-M 'P m m m'
_symmetry_Int_Tables_number 47
_symmetry_space_group_name_Hall '-P 2 2'
_cell_length_a 6.1652
_cell_length_b 6.1845
_cell_length_c 7.3576
_cell_angle_alpha 90.00
_cell_angle_beta 90.00
_cell_angle_gamma 90.00
loop_
_atom_site_label
_atom_site_type_symbol
_atom_site_fract_x
_atom_site_fract_y
_atom_site_fract_z
La1 La 0.0000 0.0000 0.2335
La2 La 0.5000 0.5000 0.2370
Pr1 Pr 0.0000 0.5000 0.5000
Pr2 Pr 0.5000 0.0000 0.0000
Tm1 Tm 0.5000 0.0000 0.5000
Th1 Th 0.0000 0.5000 0.0000
```



(2)
Compound: BaPd2Pb
Source: Alexandria via LeMat-Bulk
Functional: PBE
Structure: optimized geometry

V ... 233 Å³ per cell
Energy of formation ... -0.10 eV/atom
Uncorrected energy ... -4.1023 eV/atom

```
data_BaPd2Pb
_chemical_formula_sum 'Ba2 Pd4 Pb2'
_symmetry_space_group_name_H-M 'C m m m'
_symmetry_Int_Tables_number 65
_symmetry_space_group_name_Hall '-C 2 2'
_cell_length_a 6.6874
_cell_length_b 7.7757
_cell_length_c 4.4802
_cell_angle_alpha 90.00
_cell_angle_beta 90.00
_cell_angle_gamma 90.00
loop_
_atom_site_label
_atom_site_type_symbol
_atom_site_fract_x
_atom_site_fract_y
_atom_site_fract_z
Ba1 Ba 0.0000 0.0000 0.0000
Pd1 Pd 0.0000 0.3043 0.5000
Pb1 Pb 0.0000 0.5000 0.0000
```



(3)
Compound: Pr12Pd6Ru
Source: Alexandria via LeMat-Bulk
Functional: PBE
Structure: optimized geometry

V ... 1785 Å³ per cell
Energy of formation ... -0.42 eV/atom
Uncorrected energy ... -5.5664 eV/atom

```
data_Pr12Pd6Ru
_chemical_formula_sum 'Pr36 Pd18 Ru3'
_symmetry_space_group_name_H-M 'R -3'
_symmetry_Int_Tables_number 148
_symmetry_space_group_name_Hall '-R 3'
_cell_length_a 12.8047
_cell_length_b 12.8047
_cell_length_c 12.5705
_cell_angle_alpha 90.00
_cell_angle_beta 90.00
_cell_angle_gamma 120.00
loop_
_atom_site_label
_atom_site_type_symbol
_atom_site_fract_x
_atom_site_fract_y
_atom_site_fract_z
Pr1 Pr 0.0243 0.2098 0.3933
Pr2 Pr 0.0450 0.2008 0.8812
Pd1 Pd 0.0426 0.2676 0.6462
Ru1 Ru 0.0000 0.0000 0.0000
```



(4)
Compound: Ca4CdRu
Source: Alexandria via LeMat-Bulk
Functional: PBE
Structure: optimized geometry

V ... 677 Å³ per cell
Excess energy over the best structure of this formula in the dataset ... 0.850 eV/atom
Energy of formation ... 0.76 eV/atom
Uncorrected energy ... -2.2759 eV/atom

```
data_Ca4CdRu
_chemical_formula_sum 'Ca16 Cd4 Ru4'
_symmetry_space_group_name_H-M 'F -4 3 m'
_symmetry_Int_Tables_number 216
_symmetry_space_group_name_Hall 'F -4 2 3'
_cell_length_a 8.7812
_cell_length_b 8.7812
_cell_length_c 8.7812
_cell_angle_alpha 90.00
_cell_angle_beta 90.00
_cell_angle_gamma 90.00
loop_
_atom_site_label
_atom_site_type_symbol
_atom_site_fract_x
_atom_site_fract_y
_atom_site_fract_z
Ca1 Ca 0.1240 0.1240 0.3760
Cd1 Cd 0.0000 0.0000 0.0000
Ru1 Ru 0.2500 0.2500 0.7500
```



What is the V in the third record? 1785 Å³ per cell